# 1
Ag3Ge3Pb: relaxed, PBE.

Values from the calculation:
total magnetization	0.0	μB/f.u.
energy of formation	512	meV per atom
theoretical density	6.68	g/cm3

a b c (Å): 7.1943 7.1943 7.1943
angles (deg): 90.00 90.00 90.00
With the nearest neighbours (Å) after each atom.
Element x y z (fractional)
Ge 0.0000 0.5000 0.7500  4 Ag 2.54
Ge 0.7500 0.0000 0.5000  4 Ag 2.54
Ge 0.0000 0.5000 0.2500  4 Ag 2.54
Ge 0.5000 0.2500 0.0000  4 Ag 2.54
Ge 0.5000 0.7500 0.0000  4 Ag 2.54
Ge 0.2500 0.0000 0.5000  4 Ag 2.54
Ag 0.2500 0.5000 0.0000  4 Ge 2.54
Ag 0.0000 0.7500 0.5000  4 Ge 2.54
Ag 0.5000 0.0000 0.2500  4 Ge 2.54
Ag 0.7500 0.5000 0.0000  4 Ge 2.54
Ag 0.5000 0.0000 0.7500  4 Ge 2.54
Ag 0.0000 0.2500 0.5000  4 Ge 2.54
Pb 0.0000 0.0000 0.0000  12 Ge 4.02, 12 Ag 4.02
Pb 0.5000 0.5000 0.5000  12 Ge 4.02, 12 Ag 4.02


# 2
Nd6Y3ErTm2: relaxed, PBE.

Values from the calculation:
total magnetization	0.0	μB/f.u.
energy of formation	12	meV per atom
theoretical density	6.87	g/cm3

a b c (Å): 6.2679 6.2679 11.8224
angles (deg): 95.06 95.06 119.99
With the nearest neighbours (Å) after each atom.
Element x y z (fractional)
Y 0.5000 0.5000 0.5000  6 Nd 3.60, 6 Y 3.62
Y 0.8333 0.1667 0.5000  6 Nd 3.60-3.61, 6 Y 3.62
Y 0.1667 0.8333 0.5000  6 Nd 3.60-3.61, 6 Y 3.62
Nd 0.5835 0.9170 0.7524  2 Tm 3.56, 1 Er 3.56, 3 Y 3.60-3.61, 6 Nd 3.62
Nd 0.7495 0.7495 0.2476  1 Er 3.56, 2 Tm 3.56, 3 Y 3.60, 6 Nd 3.62
Nd 0.2505 0.2505 0.7524  1 Er 3.56, 2 Tm 3.56, 3 Y 3.60, 6 Nd 3.62
Nd 0.9170 0.5835 0.7524  2 Tm 3.56, 1 Er 3.56, 3 Y 3.60-3.61, 6 Nd 3.62
Nd 0.0830 0.4165 0.2476  2 Tm 3.56, 1 Er 3.56, 3 Y 3.60-3.61, 6 Nd 3.62
Nd 0.4165 0.0830 0.2476  2 Tm 3.56, 1 Er 3.56, 3 Y 3.60-3.61, 6 Nd 3.62
Tm 0.3334 0.6666 0.0000  6 Nd 3.56, 3 Tm 3.62, 3 Er 3.62
Tm 0.6666 0.3334 0.0000  6 Nd 3.56, 3 Tm 3.62, 3 Er 3.62
Er 0.0000 0.0000 0.0000  6 Nd 3.56, 6 Tm 3.62


# 3
ZnFeAs3: relaxed, PBE.

Values from the calculation:
total magnetization	3.1	μB/f.u.
distance to the lowest polymorph of the same formula	640.9	meV per atom
energy of formation	1081	meV per atom
theoretical density	5.23	g/cm3

a b c (Å): 4.7894 4.7894 4.7894
angles (deg): 90.00 90.00 90.00
With the nearest neighbours (Å) after each atom.
Element x y z (fractional)
As 0.5000 0.0000 0.0000  2 Zn 2.39
As 0.0000 0.0000 0.5000  2 Zn 2.39
As 0.0000 0.5000 0.0000  2 Zn 2.39
Fe 0.5000 0.5000 0.5000  12 As 3.39
Zn 0.0000 0.0000 0.0000  6 As 2.39


# 4
La2Pm6DyTm3: relaxed, PBE.

Values from the calculation:
total magnetization	0.0	μB/f.u.
energy of formation	23	meV per atom
theoretical density	7.51	g/cm3

a b c (Å): 6.2785 6.2785 11.9530
angles (deg): 95.02 95.02 120.03
With the nearest neighbours (Å) after each atom.
Element x y z (fractional)
Pm 0.9146 0.5825 0.7441  3 Tm 3.55-3.56, 6 Pm 3.61-3.63, 1 Dy 3.66, 2 La 3.67
Pm 0.4175 0.0854 0.2559  3 Tm 3.55-3.56, 6 Pm 3.61-3.63, 1 Dy 3.66, 2 La 3.67
Pm 0.7533 0.7533 0.2561  3 Tm 3.55-3.56, 6 Pm 3.61-3.63, 1 Dy 3.66, 2 La 3.67
Pm 0.0854 0.4175 0.2559  3 Tm 3.55-3.56, 6 Pm 3.61-3.63, 1 Dy 3.66, 2 La 3.67
Pm 0.2467 0.2467 0.7439  3 Tm 3.55-3.56, 6 Pm 3.61-3.63, 1 Dy 3.66, 2 La 3.67
Pm 0.5825 0.9146 0.7441  3 Tm 3.55-3.56, 6 Pm 3.61-3.63, 1 Dy 3.66, 2 La 3.67
Dy 0.0000 0.0000 0.0000  6 La 3.62-3.63, 6 Pm 3.66
La 0.3335 0.6665 0.0000  3 La 3.62-3.63, 3 Dy 3.62-3.63, 6 Pm 3.67
La 0.6665 0.3335 0.0000  3 La 3.62-3.63, 3 Dy 3.62-3.63, 6 Pm 3.67
Tm 0.8336 0.1664 0.5000  6 Pm 3.55-3.56, 6 Tm 3.62-3.63
Tm 0.1664 0.8336 0.5000  6 Pm 3.55-3.56, 6 Tm 3.62-3.63
Tm 0.5000 0.5000 0.5000  6 Pm 3.55-3.56, 6 Tm 3.62-3.63


# 5
TiTl3Cr2S6: relaxed, PBE.

Values from the calculation:
total magnetization	6.2	μB/f.u.
energy relative to the elements, uncorrected	-0.710	eV/atom
theoretical density	6.24	g/cm3

a b c (Å): 6.0689 6.0689 8.2373
angles (deg): 97.00 97.00 120.00
With the nearest neighbours (Å) after each atom.
Element x y z (fractional)
S 0.0556 0.3936 0.1680  2 Cr 2.42, 1 Ti 2.45
S 0.2823 0.2823 0.8323  2 Cr 2.41, 1 Ti 2.45
S 0.9444 0.6064 0.8320  2 Cr 2.42, 1 Ti 2.45
S 0.3936 0.0556 0.1680  2 Cr 2.42, 1 Ti 2.45
S 0.6064 0.9444 0.8320  2 Cr 2.42, 1 Ti 2.45
S 0.7177 0.7177 0.1677  2 Cr 2.41, 1 Ti 2.45
Tl 0.5000 0.5000 0.5000  6 S 3.32-3.35, 6 Tl 3.50
Tl 0.8333 0.1667 0.5000  6 S 3.32-3.35, 6 Tl 3.50-3.51
Tl 0.1667 0.8333 0.5000  6 S 3.32-3.35, 6 Tl 3.50-3.51
Cr 0.3334 0.6666 0.0000  6 S 2.41-2.42
Cr 0.6666 0.3334 0.0000  6 S 2.41-2.42
Ti 0.0000 0.0000 0.0000  6 S 2.45


# 6
Ce3Si6Pt20: relaxed, PBE.

Values from the calculation:
total magnetization	0.8	μB/f.u.
energy relative to the elements, uncorrected	-0.791	eV/atom
theoretical density	15.50	g/cm3

a b c (Å): 8.7948 8.7948 8.7948
angles (deg): 60.00 60.00 60.00
With the nearest neighbours (Å) after each atom.
Element x y z (fractional)
Si 0.2669 0.2669 0.7331  8 Pt 2.45-2.50
Si 0.7331 0.2669 0.2669  8 Pt 2.45-2.50
Si 0.2669 0.7331 0.7331  8 Pt 2.45-2.50
Si 0.7331 0.2669 0.7331  8 Pt 2.45-2.50
Si 0.7331 0.7331 0.2669  8 Pt 2.45-2.50
Si 0.2669 0.7331 0.2669  8 Pt 2.45-2.50
Pt 0.0000 0.6541 0.0000  2 Si 2.45, 1 Pt 2.71
Pt 0.1529 0.6157 0.6157  3 Si 2.50
Pt 0.6157 0.6157 0.1529  3 Si 2.50
Pt 0.3843 0.3843 0.3843  3 Si 2.50
Pt 0.0000 0.6541 0.3459  2 Si 2.45, 1 Pt 2.71
Pt 0.0000 0.0000 0.3459  2 Si 2.45, 1 Pt 2.71
Pt 0.6541 0.0000 0.0000  2 Si 2.45, 1 Pt 2.71
Pt 0.0000 0.0000 0.6541  2 Si 2.45, 1 Pt 2.71
Pt 0.6541 0.0000 0.3459  2 Si 2.45, 1 Pt 2.71
Pt 0.3459 0.6541 0.0000  2 Si 2.45, 1 Pt 2.71
Pt 0.3843 0.3843 0.8471  3 Si 2.50
Pt 0.3459 0.0000 0.6541  2 Si 2.45, 1 Pt 2.71
Pt 0.6157 0.6157 0.6157  3 Si 2.50
Pt 0.8471 0.3843 0.3843  3 Si 2.50
Pt 0.0000 0.3459 0.0000  2 Si 2.45, 1 Pt 2.71
Pt 0.0000 0.3459 0.6541  2 Si 2.45, 1 Pt 2.71
Pt 0.6541 0.3459 0.0000  2 Si 2.45, 1 Pt 2.71
Pt 0.3843 0.8471 0.3843  3 Si 2.50
Pt 0.3459 0.0000 0.0000  2 Si 2.45, 1 Pt 2.71
Pt 0.6157 0.1529 0.6157  3 Si 2.50
Ce 0.0000 0.0000 0.0000  12 Pt 3.04, 6 Si 3.32
Ce 0.2500 0.2500 0.2500  4 Pt 2.89
Ce 0.7500 0.7500 0.7500  4 Pt 2.89


# 7
PmNdAgPd: relaxed, PBE.

Values from the calculation:
total magnetization	0.0	μB/f.u.
distance to the lowest polymorph of the same formula	0.0	meV per atom
energy of formation	-523	meV per atom
theoretical density	8.12	g/cm3

a b c (Å): 3.8933 4.7895 5.8537
angles (deg): 90.00 109.42 90.00
With the nearest neighbours (Å) after each atom.
Element x y z (fractional)
Pd 0.5815 0.5000 0.1629  2 Ag 2.99, 3 Pm 3.09-3.12, 4 Nd 3.15
Nd 0.1383 0.0000 0.2767  3 Ag 3.10, 4 Pd 3.15
Pm 0.8609 0.5000 0.7218  3 Pd 3.09-3.12, 4 Ag 3.15
Ag 0.4193 0.0000 0.8385  2 Pd 2.99, 3 Nd 3.10, 4 Pm 3.15


# 8
Ca2In3Hg4: relaxed, PBE.

Values from the calculation:
total magnetization	0.0	μB/f.u.
distance to the lowest polymorph of the same formula	0.0	meV per atom
energy of formation	-330	meV per atom
theoretical density	8.78	g/cm3

a b c (Å): 5.2254 5.2269 9.8136
angles (deg): 89.94 89.99 60.00
With the nearest neighbours (Å) after each atom.
Element x y z (fractional)
In 0.6662 0.6677 0.5704  4 Hg 3.15-3.16, 3 In 3.31-3.32, 1 Ca 3.47
In 0.3338 0.3323 0.4296  4 Hg 3.15-3.16, 3 In 3.31-3.32, 1 Ca 3.47
In 0.0000 0.0000 0.0000  8 Hg 3.20-3.28
Hg 0.3337 0.3329 0.1086  4 In 3.15-3.20, 4 Ca 3.19-3.20
Hg 0.6663 0.6671 0.8914  4 In 3.15-3.20, 4 Ca 3.19-3.20
Hg 0.9992 0.0014 0.6661  4 In 3.16-3.28, 3 Ca 3.23, 1 Hg 3.26
Hg 0.0008 0.9986 0.3339  4 In 3.16-3.28, 3 Ca 3.23, 1 Hg 3.26
Ca 0.3327 0.3343 0.7833  7 Hg 3.19-3.23, 1 In 3.47
Ca 0.6673 0.6657 0.2167  7 Hg 3.19-3.23, 1 In 3.47